Entry 1:
# PBE PrNd8In5, relaxed
# * final energy: -4.277 eV per atom
# * formation enthalpy at 0 K: -0.233 eV per atom
# * calculated density: 6.9 Mg/m³
data_PrNd8In5
_chemical_formula_sum 'Pr2 Nd16 In10'
_cell_length_a 9.7190
_cell_length_b 9.7190
_cell_length_c 9.5871
_cell_angle_alpha 90.00
_cell_angle_beta 90.00
_cell_angle_gamma 90.00
_symmetry_space_group_name_H-M 'I -4'
_symmetry_Int_Tables_number 82
loop_
_symmetry_equiv_pos_as_xyz
'x,y,z'
'y,-x,-z'
'-x,-y,z'
'-y,x,-z'
'x+1/2,y+1/2,z+1/2'
'y+1/2,-x+1/2,-z+1/2'
'-x+1/2,-y+1/2,z+1/2'
'-y+1/2,x+1/2,-z+1/2'
loop_
_atom_site_label
_atom_site_type_symbol
_atom_site_fract_x
_atom_site_fract_y
_atom_site_fract_z
Pr1 Pr 0.0000 0.0000 0.0000
Nd1 Nd 0.0736 0.6559 0.9513
Nd2 Nd 0.0806 0.8178 0.3116
In1 In 0.0000 0.5000 0.2500
In2 In 0.1333 0.7544 0.6357

***

Entry 2:
# PBE SrHf3Pb, relaxed
# * final energy: -5.090 eV per atom
# * formation enthalpy at 0 K: 1.960 eV per atom
# * calculated density: 9.6 Mg/m³
# * polymorph energy (0 for the lowest one): 833 meV/atom
data_SrHf3Pb
_chemical_formula_sum 'Sr1 Hf3 Pb1'
_cell_length_a 5.2309
_cell_length_b 5.2309
_cell_length_c 5.2309
_cell_angle_alpha 90.00
_cell_angle_beta 90.00
_cell_angle_gamma 90.00
_symmetry_space_group_name_H-M 'P m -3 m'
_symmetry_Int_Tables_number 221
_symmetry_space_group_name_Hall '-P 4 2 3'
loop_
_atom_site_label
_atom_site_type_symbol
_atom_site_fract_x
_atom_site_fract_y
_atom_site_fract_z
Sr1 Sr 0.0000 0.0000 0.0000
Hf1 Hf 0.0000 0.0000 0.5000
Pb1 Pb 0.5000 0.5000 0.5000

***

Entry 3:
# PBE Ce8Ir2Pd, relaxed
# * final energy: -6.795 eV per atom
# * formation enthalpy at 0 K: -0.396 eV per atom
# * calculated density: 10.0 Mg/m³
data_Ce8Ir2Pd
_chemical_formula_sum 'Ce16 Ir4 Pd2'
_cell_length_a 17.8978
_cell_length_b 4.6636
_cell_length_c 6.8306
_cell_angle_alpha 90.00
_cell_angle_beta 109.87
_cell_angle_gamma 90.00
_symmetry_space_group_name_H-M 'C 1 2/m 1'
_symmetry_Int_Tables_number 12
loop_
_symmetry_equiv_pos_as_xyz
'x,y,z'
'-x,-y,-z'
'-x,y,-z'
'x,-y,z'
'x+1/2,y+1/2,z'
'-x+1/2,-y+1/2,-z'
'-x+1/2,y+1/2,-z'
'x+1/2,-y+1/2,z'
loop_
_atom_site_label
_atom_site_type_symbol
_atom_site_fract_x
_atom_site_fract_y
_atom_site_fract_z
Ce1 Ce 0.0057 0.0000 0.2484
Ce2 Ce 0.0904 0.5000 0.9910
Ce3 Ce 0.1726 0.5000 0.5269
Ce4 Ce 0.1998 0.0000 0.8118
Ir1 Ir 0.1619 0.0000 0.2452
Pd1 Pd 0.0000 0.5000 0.5000

***

Entry 4:
# PBE ScSiIr, relaxed
# * final energy: -7.618 eV per atom
# * formation energy (no corrections): -0.746 eV per atom
# * calculated density: 9.2 Mg/m³
data_ScSiIr
_chemical_formula_sum 'Sc2 Si2 Ir2'
_cell_length_a 3.0020
_cell_length_b 3.0020
_cell_length_c 10.5767
_cell_angle_alpha 90.00
_cell_angle_beta 90.00
_cell_angle_gamma 90.00
_symmetry_space_group_name_H-M 'I 4 m m'
_symmetry_Int_Tables_number 107
_symmetry_space_group_name_Hall 'I 4 -2'
loop_
_atom_site_label
_atom_site_type_symbol
_atom_site_fract_x
_atom_site_fract_y
_atom_site_fract_z
Sc1 Sc 0.0000 0.0000 0.0000
Si1 Si 0.0000 0.0000 0.3114
Ir1 Ir 0.0000 0.0000 0.6880

***

Entry 5:
# PBE SrSc2AlCo, relaxed
# * final energy: -5.179 eV per atom
# * formation enthalpy at 0 K: -0.141 eV per atom
# * calculated density: 3.7 Mg/m³
data_SrSc2AlCo
_chemical_formula_sum 'Sr1 Sc2 Al1 Co1'
_cell_length_a 4.9250
_cell_length_b 4.9250
_cell_length_c 4.8158
_cell_angle_alpha 90.00
_cell_angle_beta 90.00
_cell_angle_gamma 90.00
_symmetry_space_group_name_H-M 'P 4/m m m'
_symmetry_Int_Tables_number 123
_symmetry_space_group_name_Hall '-P 4 2'
loop_
_atom_site_label
_atom_site_type_symbol
_atom_site_fract_x
_atom_site_fract_y
_atom_site_fract_z
Sr1 Sr 0.0000 0.0000 0.0000
Sc1 Sc 0.0000 0.5000 0.5000
Al1 Al 0.5000 0.5000 0.0000
Co1 Co 0.5000 0.5000 0.5000

***

Entry 6:
# PBE SrTiSeO5, relaxed
# * final energy: -6.835 eV per atom
# * formation energy (no corrections): -2.103 eV per atom
# * calculated density: 4.3 Mg/m³
data_SrTiSeO5
_chemical_formula_sum 'Sr4 Ti4 Se4 O20'
_cell_length_a 7.4037
_cell_length_b 8.8441
_cell_length_c 7.7338
_cell_angle_alpha 90.00
_cell_angle_beta 116.77
_cell_angle_gamma 90.00
_symmetry_space_group_name_H-M 'C 1 2/c 1'
_symmetry_Int_Tables_number 15
loop_
_symmetry_equiv_pos_as_xyz
'x,y,z'
'-x,-y,-z'
'-x,y,-z+1/2'
'x,-y,z+1/2'
'x+1/2,y+1/2,z'
'-x+1/2,-y+1/2,-z'
'-x+1/2,y+1/2,-z+1/2'
'x+1/2,-y+1/2,z+1/2'
loop_
_atom_site_label
_atom_site_type_symbol
_atom_site_fract_x
_atom_site_fract_y
_atom_site_fract_z
Sr1 Sr 0.0000 0.0673 0.2500
Ti1 Ti 0.2500 0.2500 0.0000
Se1 Se 0.0000 0.4629 0.2500
O1 O 0.0000 0.2283 0.7500
O2 O 0.0562 0.3276 0.1146
O3 O 0.2146 0.0430 0.0659